GGA-PBE RbBaEr, relaxed; space group = F-43m, No. 216; ΔE to the lowest computed polymorph = 0 meV per atom; crystal system = cubic; DFT total energy = -1.55 eV/atom
1.0
3.703 3.806 3.882
-2.570 5.408 2.723
-1.146 0.196 6.474
Ba Er Rb
1 1 1
direct
0.250 0.250 0.250
0.000 0.000 0.000
0.750 0.750 0.750